{
  "formula": "Al2Fe2Co2IrPt",
  "functional": "GGA-PBE",
  "state": "relaxed",
  "lattice_angstrom": [[4.184, 0.000, 0.000], [0.000, 4.184, 0.000], [0.000, 0.000, 5.923]],
  "species": ["Fe", "Al", "Al", "Fe", "Co", "Ir", "Co", "Pt"],
  "fractional_positions": [[0.500, 0.000, 0.245], [0.000, 0.500, 0.248], [0.500, 0.000, 0.752], [0.000, 0.500, 0.755], [0.000, 0.000, 0.500], [0.000, 0.000, 0.000], [0.500, 0.500, 0.000], [0.500, 0.500, 0.500]],
  "crystal_system": "tetragonal",
  "spacegroup": "No. 115",
  "e_tot_ev_per_cell": -56.680
}